# 1
First-principles (GGA-PBE) data for crystalline PrGaPdAu at its relaxed geometry, as listed in Alexandria.

Results
M_tot = 0.0 μB per formula unit
total energy = -4.665 eV per atom
calculated volume = 20.94 Å³/atom
N(E_F) = 11.29 states/eV per cell
ΔE_f = -0.596 eV/atom

Cell: 6.946 6.946 6.946 Å, 90.00 90.00 90.00°
Fractional coordinates of all 16 atoms:
Pr: 0.000 0.000 0.000
Pr: 0.000 0.500 0.500
Pr: 0.500 0.000 0.500
Pr: 0.500 0.500 0.000
Ga: 0.000 0.000 0.500
Ga: 0.000 0.500 0.000
Ga: 0.500 0.000 0.000
Ga: 0.500 0.500 0.500
Pd: 0.250 0.250 0.250
Pd: 0.250 0.750 0.750
Pd: 0.750 0.250 0.750
Pd: 0.750 0.750 0.250
Au: 0.250 0.250 0.750
Au: 0.250 0.750 0.250
Au: 0.750 0.250 0.250
Au: 0.750 0.750 0.750



# 2
First-principles (GGA-PBE) data for crystalline Pr2Ga3PdAu12 at its relaxed geometry, as listed in Alexandria.

Results
M_tot = 0.0 μB per formula unit
total energy = -3.596 eV per atom
calculated volume = 23.80 Å³/atom
N(E_F) = 8.29 states/eV per cell
ΔE_f = -0.087 eV/atom

Cell: 8.625 8.625 8.625 Å, 57.58 57.58 57.58°
Fractional coordinates of all 18 atoms:
Pr: 0.129 0.129 0.129
Pr: 0.871 0.871 0.871
Ga: 0.000 0.500 0.500
Ga: 0.500 0.000 0.500
Ga: 0.500 0.500 0.000
Pd: 0.500 0.500 0.500
Au: 0.115 0.624 0.624
Au: 0.123 0.123 0.632
Au: 0.123 0.632 0.123
Au: 0.368 0.877 0.877
Au: 0.376 0.376 0.885
Au: 0.376 0.885 0.376
Au: 0.624 0.115 0.624
Au: 0.624 0.624 0.115
Au: 0.632 0.123 0.123
Au: 0.877 0.368 0.877
Au: 0.877 0.877 0.368
Au: 0.885 0.376 0.376